# 1
This record from Alexandria via LeMat-Bulk describes an optimized crystal structure of FeNiW. The functional is PBE.

Computed properties:
ΔE_f in eV per atom: 0.68
E above lowest polymorph in meV/atom: 610
V in Å³ per atom: 14.849

Cell lengths 5.627, 5.627, 5.627 Å; angles 90.00, 90.00, 90.00 degrees
Space group F-43m (No. 216)
Unique sites:
Fe 0.000 0.000 0.000
Ni 0.000 0.000 0.500
W 0.250 0.250 0.750



# 2
This record from Alexandria via LeMat-Bulk describes an optimized crystal structure of WBr2Cl. The functional is PBE.

Computed properties:
Uncorrected formation energy in eV per atom: 0.253
E above lowest polymorph in meV/atom: 510
V in Å³ per atom: 23.447

Cell lengths 3.2623, 3.2623, 30.5268 Å; angles 90.00, 90.00, 120.00 degrees
Space group R-3m (No. 166, hexagonal axes)
Unique sites:
W 0.0000 0.0000 0.0000
Br 0.0000 0.0000 0.3936
Cl 0.0000 0.0000 0.5000



# 3
This record from Alexandria via LeMat-Bulk describes an optimized crystal structure of KSc2S. The functional is PBE.

Computed properties:
Uncorrected formation energy in eV per atom: 0.028
V in Å³ per atom: 33.254

Cell lengths 3.6792, 3.6792, 34.0395 Å; angles 90.00, 90.00, 120.00 degrees
Space group R-3m (No. 166, hexagonal axes)
Unique sites:
K 0.0000 0.0000 0.0000
Sc 0.0000 0.0000 0.4320
S 0.0000 0.0000 0.5000



# 4
This record from Alexandria via LeMat-Bulk describes an optimized crystal structure of CrCoNi2. The functional is PBE.

Computed properties:
ΔE_f in eV per atom: 0.03
V in Å³ per atom: 10.825

Cell lengths 2.471, 3.518, 4.980 Å; angles 90.00, 90.00, 90.00 degrees
Space group Pmm2 (No. 25)
Unique sites:
Cr 0.000 0.000 0.000
Co 0.500 0.500 0.762
Ni 0.000 0.000 0.506
Ni 0.500 0.500 0.259



# 5
This record from Alexandria via LeMat-Bulk describes an optimized crystal structure of Nd10Y6Ho. The functional is PBE.

Computed properties:
ΔE_f in eV per atom: 0.13
V in Å³ per atom: 34.539

Cell lengths 9.8825, 9.8825, 6.9420 Å; angles 90.00, 90.00, 120.00 degrees
Space group P-31m (No. 162)
Unique sites:
Nd 0.0000 0.2741 0.1825
Nd 0.3333 0.6667 0.0000
Nd 0.3333 0.6667 0.5000
Y 0.0000 0.3686 0.6887
Ho 0.0000 0.0000 0.5000



# 6
This record from Alexandria via LeMat-Bulk describes an optimized crystal structure of VHgS2. The functional is PBE.

Computed properties:
Uncorrected formation energy in eV per atom: -0.562
V in Å³ per atom: 30.119

Cell lengths 10.476, 9.201, 5.704 Å; angles 90.00, 118.78, 90.00 degrees
Space group C2/c (No. 15)
Unique sites:
V 0.000 0.001 0.250
Hg 0.000 0.499 0.250
S 0.131 0.131 0.617



Q: Look up the V of the third one.
A: 33.254 Å³ per atom